Entry 1:
This record from the Alexandria database describes a geometry-optimized CsTi2Cd2 structure. The functional is PBE.

Computed properties:
Its energy above the most stable polymorph in this dataset is 99.7 meV/atom. For the magnetization, the calculation gives 0.737 μB/atom. For the volume, the calculation gives 27.1 Å³/atom. The energy of formation from the pure elements is 255 kJ/mol of formula units. Its space-group type is P4/mbm (127). As for the theoretical density: 5.567 g cm⁻³. The value obtained for the density of states at the Fermi level is 15.214 states/eV per cell.

a b c (Å): 9.3357 9.3357 3.1039
angles (deg): 90.00 90.00 90.00
Atoms (fractional coordinates):
Cs (0.0000, 0.0000, 0.0000)
Cs (0.5000, 0.5000, 0.0000)
Ti (0.1016, 0.3984, 0.5000)
Ti (0.3984, 0.8984, 0.5000)
Ti (0.6016, 0.1016, 0.5000)
Ti (0.8984, 0.6016, 0.5000)
Cd (0.1770, 0.6770, 0.0000)
Cd (0.3230, 0.1770, 0.0000)
Cd (0.6770, 0.8230, 0.0000)
Cd (0.8230, 0.3230, 0.0000)

***

Entry 2:
This record from the Alexandria database describes a geometry-optimized CsTi2Cd2 structure. The functional is PBE.

Computed properties:
Its energy above the most stable polymorph in this dataset is 0.0 meV/atom. For the magnetization, the calculation gives 0.000 μB/atom. For the volume, the calculation gives 29.2 Å³/atom. The energy of formation from the pure elements is 207 kJ/mol of formula units. Its space-group type is I4/mmm (139). As for the theoretical density: 5.165 g cm⁻³. The value obtained for the density of states at the Fermi level is 8.325 states/eV per cell.

a b c (Å): 10.7463 10.7463 10.7463
angles (deg): 159.95 159.95 28.50
Atoms (fractional coordinates):
Cs (0.0000, 0.0000, 0.0000)
Ti (0.2500, 0.7500, 0.5000)
Ti (0.7500, 0.2500, 0.5000)
Cd (0.3623, 0.3623, 0.0000)
Cd (0.6377, 0.6377, 0.0000)

***

Entry 3:
This record from the Alexandria database describes a geometry-optimized CsTiCd2 structure. The functional is PBE.

Computed properties:
For the magnetization, the calculation gives 0.000 μB/atom. For the volume, the calculation gives 30.7 Å³/atom. The energy of formation from the pure elements is 304 kJ/mol of formula units. Its space-group type is Fm-3m (225). As for the theoretical density: 5.481 g cm⁻³. The value obtained for the density of states at the Fermi level is 6.001 states/eV per cell.

a b c (Å): 5.5805 5.5805 5.5805
angles (deg): 60.00 60.00 60.00
Atoms (fractional coordinates):
Cs (0.0000, 0.0000, 0.0000)
Ti (0.5000, 0.5000, 0.5000)
Cd (0.2500, 0.2500, 0.2500)
Cd (0.7500, 0.7500, 0.7500)

***

Entry 4:
This record from the Alexandria database describes a geometry-optimized CsTlCd structure. The functional is PBE.

Computed properties:
Its energy above the most stable polymorph in this dataset is 39.4 meV/atom. For the magnetization, the calculation gives 0.000 μB/atom. For the volume, the calculation gives 39.7 Å³/atom. The energy of formation from the pure elements is -7 kJ/mol of formula units. Its space-group type is I4mm (107). As for the theoretical density: 6.274 g cm⁻³. The value obtained for the density of states at the Fermi level is 1.357 states/eV per cell.

a b c (Å): 7.4991 7.4991 7.4991
angles (deg): 147.85 147.85 46.11
Atoms (fractional coordinates):
Cs (0.0000, 0.0000, 0.0000)
Tl (0.7078, 0.7078, 0.0000)
Cd (0.2954, 0.2954, 0.0000)

***

Entry 5:
This record from the Alexandria database describes a geometry-optimized Cs2Tl6Cd structure. The functional is PBE.

Computed properties:
For the magnetization, the calculation gives 0.000 μB/atom. For the volume, the calculation gives 37.2 Å³/atom. The energy of formation from the pure elements is -44 kJ/mol of formula units. Its space-group type is C2/m (12). As for the theoretical density: 7.964 g cm⁻³. The value obtained for the density of states at the Fermi level is 6.344 states/eV per cell.

a b c (Å): 7.2847 7.2847 7.7393
angles (deg): 91.69 91.69 54.59
Atoms (fractional coordinates):
Cs (0.1706, 0.1706, 0.1204)
Cs (0.8294, 0.8294, 0.8796)
Tl (0.1725, 0.6810, 0.3297)
Tl (0.3075, 0.3075, 0.6230)
Tl (0.3190, 0.8275, 0.6703)
Tl (0.6810, 0.1725, 0.3297)
Tl (0.6925, 0.6925, 0.3770)
Tl (0.8275, 0.3190, 0.6703)
Cd (0.5000, 0.5000, 0.0000)

***

Entry 6:
This record from the Alexandria database describes a geometry-optimized CsTl7Cd5 structure. The functional is PBE.

Computed properties:
For the magnetization, the calculation gives 0.000 μB/atom. For the volume, the calculation gives 30.2 Å³/atom. The energy of formation from the pure elements is -20 kJ/mol of formula units. Its space-group type is Imm2 (44). As for the theoretical density: 9.005 g cm⁻³. The value obtained for the density of states at the Fermi level is 6.389 states/eV per cell.

a b c (Å): 8.5749 8.5749 8.5749
angles (deg): 138.27 98.70 95.88
Atoms (fractional coordinates):
Cs (0.0000, 0.0000, 0.0000)
Tl (0.2128, 0.4982, 0.7146)
Tl (0.3552, 0.3552, 0.0000)
Tl (0.3566, 0.0015, 0.3550)
Tl (0.6432, 0.6432, 0.0000)
Tl (0.6465, 0.0015, 0.6450)
Tl (0.7789, 0.2789, 0.5000)
Tl (0.7836, 0.4982, 0.2854)
Cd (0.0050, 0.4988, 0.0090)
Cd (0.0050, 0.9960, 0.5062)
Cd (0.2323, 0.7323, 0.5000)
Cd (0.4898, 0.4988, 0.4938)
Cd (0.4898, 0.9960, 0.9910)